*a*
First-principles (PBE) data for crystalline FePd3Au2 at its relaxed geometry, as listed in Alexandria via LeMat-Bulk.

The structure in CIF format:
```
data_FePd3Au2
_cell_length_a 12.954
_cell_length_b 5.545
_cell_length_c 5.600
_cell_angle_alpha 90.00
_cell_angle_beta 102.09
_cell_angle_gamma 90.00
_space_group_name_H-M_alt 'C 1 2/c 1'
_space_group_IT_number 15
_space_group_name_Hall '-C 2yc'
loop_
_atom_site_label
_atom_site_type_symbol
_atom_site_fract_x
_atom_site_fract_y
_atom_site_fract_z
Fe1 Fe 0.000 0.243 0.250
Pd1 Pd 0.000 0.296 0.750
Pd2 Pd 0.137 0.003 0.565
Au1 Au 0.171 0.496 0.088
```

=====

*b*
First-principles (PBE) data for crystalline FePd3Au2 at its relaxed geometry, as listed in Alexandria via LeMat-Bulk.

The structure in CIF format:
```
data_FePd3Au2
_cell_length_a 7.152
_cell_length_b 7.784
_cell_length_c 7.046
_cell_angle_alpha 90.00
_cell_angle_beta 101.15
_cell_angle_gamma 90.00
_space_group_name_H-M_alt 'C 1 2/c 1'
_space_group_IT_number 15
_space_group_name_Hall '-C 2yc'
loop_
_atom_site_label
_atom_site_type_symbol
_atom_site_fract_x
_atom_site_fract_y
_atom_site_fract_z
Fe1 Fe 0.000 0.082 0.250
Pd1 Pd 0.000 0.403 0.250
Pd2 Pd 0.231 0.078 0.001
Au1 Au 0.126 0.255 0.627
```

=====

Most stable: *b*. Least stable: *a*.

=====

*a*
First-principles (PBE) data for crystalline Fe2Pd4Au at its relaxed geometry, as listed in Alexandria via LeMat-Bulk.

The structure in CIF format:
```
data_Fe2Pd4Au
_cell_length_a 6.605
_cell_length_b 5.389
_cell_length_c 6.806
_cell_angle_alpha 90.00
_cell_angle_beta 115.86
_cell_angle_gamma 90.00
_space_group_name_H-M_alt 'P 1 21/m 1'
_space_group_IT_number 11
_space_group_name_Hall '-P 2yb'
loop_
_atom_site_label
_atom_site_type_symbol
_atom_site_fract_x
_atom_site_fract_y
_atom_site_fract_z
Fe1 Fe 0.031 0.250 0.019
Fe2 Fe 0.253 0.750 0.451
Pd1 Pd 0.136 0.003 0.738
Pd2 Pd 0.381 0.750 0.150
Pd3 Pd 0.452 0.250 0.142
Au1 Au 0.284 0.250 0.445
```

=====

*b*
First-principles (PBE) data for crystalline Fe2Pd4Au at its relaxed geometry, as listed in Alexandria via LeMat-Bulk.

The structure in CIF format:
```
data_Fe2Pd4Au
_cell_length_a 4.944
_cell_length_b 5.016
_cell_length_c 5.380
_cell_angle_alpha 103.68
_cell_angle_beta 96.85
_cell_angle_gamma 115.80
_space_group_name_H-M_alt 'P -1'
_space_group_IT_number 2
_space_group_name_Hall '-P 1'
loop_
_atom_site_label
_atom_site_type_symbol
_atom_site_fract_x
_atom_site_fract_y
_atom_site_fract_z
Fe1 Fe 0.065 0.033 0.238
Pd1 Pd 0.000 0.500 0.000
Pd2 Pd 0.453 0.397 0.720
Pd3 Pd 0.500 0.000 0.000
Au1 Au 0.000 0.500 0.500
```

=====

Most stable: *a*. Least stable: *b*.

=====

*a*
First-principles (PBE) data for crystalline Fe2Pd5Au2 at its relaxed geometry, as listed in Alexandria via LeMat-Bulk.

The structure in CIF format:
```
data_Fe2Pd5Au2
_cell_length_a 14.779
_cell_length_b 6.307
_cell_length_c 6.331
_cell_angle_alpha 90.00
_cell_angle_beta 90.00
_cell_angle_gamma 90.00
_space_group_name_H-M_alt 'C m c e'
_space_group_IT_number 64
_space_group_name_Hall '-C 2ac 2'
loop_
_atom_site_label
_atom_site_type_symbol
_atom_site_fract_x
_atom_site_fract_y
_atom_site_fract_z
Fe1 Fe 0.000 0.126 0.127
Pd1 Pd 0.000 0.000 0.500
Pd2 Pd 0.120 0.175 0.825
Au1 Au 0.225 0.000 0.500
```

=====

*b*
First-principles (PBE) data for crystalline Fe2Pd5Au2 at its relaxed geometry, as listed in Alexandria via LeMat-Bulk.

The structure in CIF format:
```
data_Fe2Pd5Au2
_cell_length_a 11.978
_cell_length_b 3.876
_cell_length_c 6.281
_cell_angle_alpha 90.00
_cell_angle_beta 108.11
_cell_angle_gamma 90.00
_space_group_name_H-M_alt 'C 1 2/m 1'
_space_group_IT_number 12
_space_group_name_Hall '-C 2y'
loop_
_atom_site_label
_atom_site_type_symbol
_atom_site_fract_x
_atom_site_fract_y
_atom_site_fract_z
Fe1 Fe 0.123 0.000 0.180
Pd1 Pd 0.000 0.000 0.500
Pd2 Pd 0.166 0.500 0.494
Pd3 Pd 0.226 0.000 0.835
Au1 Au 0.054 0.500 0.837
```

=====

Most stable: *b*. Least stable: *a*.

=====

*a*
First-principles (PBE) data for crystalline FePd5Au at its relaxed geometry, as listed in Alexandria via LeMat-Bulk.

The structure in CIF format:
```
data_FePd5Au
_cell_length_a 4.019
_cell_length_b 4.019
_cell_length_c 7.075
_cell_angle_alpha 90.00
_cell_angle_beta 90.00
_cell_angle_gamma 90.00
_space_group_name_H-M_alt 'P 4/m m m'
_space_group_IT_number 123
_space_group_name_Hall '-P 4 2'
loop_
_atom_site_label
_atom_site_type_symbol
_atom_site_fract_x
_atom_site_fract_y
_atom_site_fract_z
Fe1 Fe 0.000 0.000 0.000
Pd1 Pd 0.000 0.000 0.500
Pd2 Pd 0.000 0.500 0.212
Au1 Au 0.500 0.500 0.500
```

=====

*b*
First-principles (PBE) data for crystalline FePd5Au at its relaxed geometry, as listed in Alexandria via LeMat-Bulk.

The structure in CIF format:
```
data_FePd5Au
_cell_length_a 5.183
_cell_length_b 6.825
_cell_length_c 7.233
_cell_angle_alpha 90.00
_cell_angle_beta 90.00
_cell_angle_gamma 90.00
_space_group_name_H-M_alt 'I m m 2'
_space_group_IT_number 44
_space_group_name_Hall 'I 2 -2'
loop_
_atom_site_label
_atom_site_type_symbol
_atom_site_fract_x
_atom_site_fract_y
_atom_site_fract_z
Fe1 Fe 0.000 0.000 0.000
Pd1 Pd 0.000 0.185 0.308
Pd2 Pd 0.000 0.500 0.872
Pd3 Pd 0.240 0.000 0.683
Au1 Au 0.000 0.500 0.524
```

=====

Most stable: *a*. Least stable: *b*.

=====

*a*
First-principles (PBE) data for crystalline FePd2Au2 at its relaxed geometry, as listed in Alexandria via LeMat-Bulk.

The structure in CIF format:
```
data_FePd2Au2
_cell_length_a 2.913
_cell_length_b 2.913
_cell_length_c 18.782
_cell_angle_alpha 90.00
_cell_angle_beta 90.00
_cell_angle_gamma 90.00
_space_group_name_H-M_alt 'I 4/m m m'
_space_group_IT_number 139
_space_group_name_Hall '-I 4 2'
loop_
_atom_site_label
_atom_site_type_symbol
_atom_site_fract_x
_atom_site_fract_y
_atom_site_fract_z
Fe1 Fe 0.000 0.000 0.000
Pd1 Pd 0.000 0.000 0.414
Au1 Au 0.000 0.000 0.194
```

=====

*b*
First-principles (PBE) data for crystalline FePd2Au2 at its relaxed geometry, as listed in Alexandria via LeMat-Bulk.

The structure in CIF format:
```
data_FePd2Au2
_cell_length_a 3.700
_cell_length_b 3.700
_cell_length_c 13.632
_cell_angle_alpha 90.00
_cell_angle_beta 90.00
_cell_angle_gamma 90.00
_space_group_name_H-M_alt 'I 4/m m m'
_space_group_IT_number 139
_space_group_name_Hall '-I 4 2'
loop_
_atom_site_label
_atom_site_type_symbol
_atom_site_fract_x
_atom_site_fract_y
_atom_site_fract_z
Fe1 Fe 0.000 0.000 0.000
Pd1 Pd 0.000 0.000 0.406
Au1 Au 0.000 0.500 0.250
```

=====

*c*
First-principles (PBE) data for crystalline FePd2Au2 at its relaxed geometry, as listed in Alexandria via LeMat-Bulk.

The structure in CIF format:
```
data_FePd2Au2
_cell_length_a 6.534
_cell_length_b 6.534
_cell_length_c 4.057
_cell_angle_alpha 90.00
_cell_angle_beta 90.00
_cell_angle_gamma 90.00
_space_group_name_H-M_alt 'P 4/m b m'
_space_group_IT_number 127
_space_group_name_Hall '-P 4 2ab'
loop_
_atom_site_label
_atom_site_type_symbol
_atom_site_fract_x
_atom_site_fract_y
_atom_site_fract_z
Fe1 Fe 0.000 0.000 0.000
Pd1 Pd 0.143 0.357 0.000
Au1 Au 0.161 0.661 0.500
```

=====

Most stable: *a*. Least stable: *b*.

=====

*a*
First-principles (PBE) data for crystalline Fe3Pd8Au2 at its relaxed geometry, as listed in Alexandria via LeMat-Bulk.

The structure in CIF format:
```
data_Fe3Pd8Au2
_cell_length_a 9.032
_cell_length_b 2.866
_cell_length_c 9.365
_cell_angle_alpha 90.00
_cell_angle_beta 118.82
_cell_angle_gamma 90.00
_space_group_name_H-M_alt 'P 1 2/m 1'
_space_group_IT_number 10
_space_group_name_Hall '-P 2y'
loop_
_atom_site_label
_atom_site_type_symbol
_atom_site_fract_x
_atom_site_fract_y
_atom_site_fract_z
Fe1 Fe 0.000 0.000 0.000
Fe2 Fe 0.235 0.500 0.000
Pd1 Pd 0.120 0.000 0.735
Pd2 Pd 0.126 0.500 0.253
Pd3 Pd 0.385 0.000 0.265
Pd4 Pd 0.418 0.500 0.836
Au1 Au 0.269 0.000 0.537
```

=====

*b*
First-principles (PBE) data for crystalline Fe3Pd8Au2 at its relaxed geometry, as listed in Alexandria via LeMat-Bulk.

The structure in CIF format:
```
data_Fe3Pd8Au2
_cell_length_a 12.456
_cell_length_b 5.228
_cell_length_c 7.790
_cell_angle_alpha 90.00
_cell_angle_beta 124.09
_cell_angle_gamma 90.00
_space_group_name_H-M_alt 'C 1 2/m 1'
_space_group_IT_number 12
_space_group_name_Hall '-C 2y'
loop_
_atom_site_label
_atom_site_type_symbol
_atom_site_fract_x
_atom_site_fract_y
_atom_site_fract_z
Fe1 Fe 0.000 0.000 0.000
Fe2 Fe 0.000 0.263 0.500
Pd1 Pd 0.125 0.254 0.341
Pd2 Pd 0.129 0.000 0.826
Pd3 Pd 0.216 0.500 0.749
Au1 Au 0.109 0.500 0.987
```

=====

Most stable: *a*. Least stable: *b*.

=====

*a*
First-principles (PBE) data for crystalline FePdPtAu at its relaxed geometry, as listed in Alexandria via LeMat-Bulk.

The structure in CIF format:
```
data_FePdPtAu
_cell_length_a 2.815
_cell_length_b 2.815
_cell_length_c 7.770
_cell_angle_alpha 90.00
_cell_angle_beta 90.00
_cell_angle_gamma 90.00
_space_group_name_H-M_alt 'P 4 m m'
_space_group_IT_number 99
_space_group_name_Hall 'P 4 -2'
loop_
_atom_site_label
_atom_site_type_symbol
_atom_site_fract_x
_atom_site_fract_y
_atom_site_fract_z
Fe1 Fe 0.000 0.000 0.000
Pd1 Pd 0.500 0.500 0.226
Pt1 Pt 0.500 0.500 0.777
Au1 Au 0.000 0.000 0.498
```

=====

*b*
First-principles (PBE) data for crystalline FePdPtAu at its relaxed geometry, as listed in Alexandria via LeMat-Bulk.

The structure in CIF format:
```
data_FePdPtAu
_cell_length_a 6.309
_cell_length_b 6.309
_cell_length_c 6.309
_cell_angle_alpha 90.00
_cell_angle_beta 90.00
_cell_angle_gamma 90.00
_space_group_name_H-M_alt 'F -4 3 m'
_space_group_IT_number 216
_space_group_name_Hall 'F -4 2 3'
loop_
_atom_site_label
_atom_site_type_symbol
_atom_site_fract_x
_atom_site_fract_y
_atom_site_fract_z
Fe1 Fe 0.000 0.000 0.000
Pd1 Pd 0.250 0.250 0.750
Pt1 Pt 0.250 0.250 0.250
Au1 Au 0.000 0.000 0.500
```

=====

Most stable: *a*. Least stable: *b*.

=====

*a*
First-principles (PBE) data for crystalline Fe2Pt2Au at its relaxed geometry, as listed in Alexandria via LeMat-Bulk.

The structure in CIF format:
```
data_Fe2Pt2Au
_cell_length_a 7.324
_cell_length_b 7.324
_cell_length_c 2.698
_cell_angle_alpha 90.00
_cell_angle_beta 90.00
_cell_angle_gamma 90.00
_space_group_name_H-M_alt 'P 4/m b m'
_space_group_IT_number 127
_space_group_name_Hall '-P 4 2ab'
loop_
_atom_site_label
_atom_site_type_symbol
_atom_site_fract_x
_atom_site_fract_y
_atom_site_fract_z
Fe1 Fe 0.112 0.388 0.000
Pt1 Pt 0.180 0.680 0.500
Au1 Au 0.000 0.000 0.000
```

=====

*b*
First-principles (PBE) data for crystalline Fe2Pt2Au at its relaxed geometry, as listed in Alexandria via LeMat-Bulk.

The structure in CIF format:
```
data_Fe2Pt2Au
_cell_length_a 7.483
_cell_length_b 7.483
_cell_length_c 2.764
_cell_angle_alpha 90.00
_cell_angle_beta 90.00
_cell_angle_gamma 90.00
_space_group_name_H-M_alt 'P 4/m b m'
_space_group_IT_number 127
_space_group_name_Hall '-P 4 2ab'
loop_
_atom_site_label
_atom_site_type_symbol
_atom_site_fract_x
_atom_site_fract_y
_atom_site_fract_z
Fe1 Fe 0.163 0.337 0.000
Pt1 Pt 0.133 0.633 0.500
Au1 Au 0.000 0.000 0.500
```

=====

Most stable: *b*. Least stable: *a*.

=====

*a*
First-principles (PBE) data for crystalline RbFe3Au at its relaxed geometry, as listed in Alexandria via LeMat-Bulk.

The structure in CIF format:
```
data_RbFe3Au
_cell_length_a 4.590
_cell_length_b 4.590
_cell_length_c 4.590
_cell_angle_alpha 90.00
_cell_angle_beta 90.00
_cell_angle_gamma 90.00
_space_group_name_H-M_alt 'P m -3 m'
_space_group_IT_number 221
_space_group_name_Hall '-P 4 2 3'
loop_
_atom_site_label
_atom_site_type_symbol
_atom_site_fract_x
_atom_site_fract_y
_atom_site_fract_z
Rb1 Rb 0.000 0.000 0.000
Fe1 Fe 0.000 0.000 0.500
Au1 Au 0.500 0.500 0.500
```

=====

*b*
First-principles (PBE) data for crystalline RbFe3Au at its relaxed geometry, as listed in Alexandria via LeMat-Bulk.

The structure in CIF format:
```
data_RbFe3Au
_cell_length_a 4.998
_cell_length_b 4.998
_cell_length_c 4.998
_cell_angle_alpha 90.00
_cell_angle_beta 90.00
_cell_angle_gamma 90.00
_space_group_name_H-M_alt 'P m -3 m'
_space_group_IT_number 221
_space_group_name_Hall '-P 4 2 3'
loop_
_atom_site_label
_atom_site_type_symbol
_atom_site_fract_x
_atom_site_fract_y
_atom_site_fract_z
Rb1 Rb 0.000 0.000 0.000
Fe1 Fe 0.000 0.500 0.500
Au1 Au 0.500 0.500 0.500
```

=====

Most stable: *b*. Least stable: *a*.

=====

*a*
First-principles (PBE) data for crystalline Rb2FeAu2 at its relaxed geometry, as listed in Alexandria via LeMat-Bulk.

The structure in CIF format:
```
data_Rb2FeAu2
_cell_length_a 7.042
_cell_length_b 7.042
_cell_length_c 5.703
_cell_angle_alpha 90.00
_cell_angle_beta 90.00
_cell_angle_gamma 90.00
_space_group_name_H-M_alt 'P 4/m b m'
_space_group_IT_number 127
_space_group_name_Hall '-P 4 2ab'
loop_
_atom_site_label
_atom_site_type_symbol
_atom_site_fract_x
_atom_site_fract_y
_atom_site_fract_z
Rb1 Rb 0.175 0.325 0.000
Fe1 Fe 0.000 0.000 0.500
Au1 Au 0.147 0.647 0.500
```

=====

*b*
First-principles (PBE) data for crystalline Rb2FeAu2 at its relaxed geometry, as listed in Alexandria via LeMat-Bulk.

The structure in CIF format:
```
data_Rb2FeAu2
_cell_length_a 5.149
_cell_length_b 5.149
_cell_length_c 14.181
_cell_angle_alpha 90.00
_cell_angle_beta 90.00
_cell_angle_gamma 90.00
_space_group_name_H-M_alt 'I 4/m m m'
_space_group_IT_number 139
_space_group_name_Hall '-I 4 2'
loop_
_atom_site_label
_atom_site_type_symbol
_atom_site_fract_x
_atom_site_fract_y
_atom_site_fract_z
Rb1 Rb 0.000 0.500 0.250
Fe1 Fe 0.000 0.000 0.000
Au1 Au 0.000 0.000 0.404
```

=====

Most stable: *a*. Least stable: *b*.

=====

*a*
First-principles (PBE) data for crystalline RbFeAu3 at its relaxed geometry, as listed in Alexandria via LeMat-Bulk.

The structure in CIF format:
```
data_RbFeAu3
_cell_length_a 5.810
_cell_length_b 5.810
_cell_length_c 5.810
_cell_angle_alpha 90.00
_cell_angle_beta 90.00
_cell_angle_gamma 90.00
_space_group_name_H-M_alt 'P m -3 m'
_space_group_IT_number 221
_space_group_name_Hall '-P 4 2 3'
loop_
_atom_site_label
_atom_site_type_symbol
_atom_site_fract_x
_atom_site_fract_y
_atom_site_fract_z
Rb1 Rb 0.000 0.000 0.000
Fe1 Fe 0.500 0.500 0.500
Au1 Au 0.000 0.000 0.500
```

=====

*b*
First-principles (PBE) data for crystalline RbFeAu3 at its relaxed geometry, as listed in Alexandria via LeMat-Bulk.

The structure in CIF format:
```
data_RbFeAu3
_cell_length_a 5.074
_cell_length_b 5.074
_cell_length_c 5.074
_cell_angle_alpha 90.00
_cell_angle_beta 90.00
_cell_angle_gamma 90.00
_space_group_name_H-M_alt 'P m -3 m'
_space_group_IT_number 221
_space_group_name_Hall '-P 4 2 3'
loop_
_atom_site_label
_atom_site_type_symbol
_atom_site_fract_x
_atom_site_fract_y
_atom_site_fract_z
Rb1 Rb 0.000 0.000 0.000
Fe1 Fe 0.500 0.500 0.500
Au1 Au 0.000 0.500 0.500
```

=====

Most stable: *b*. Least stable: *a*.